First-principles (GGA-PBE) data for an optimized crystal structure of CuBiAsBr2, as listed in Alexandria.

Properties
- Energy relative to the elements, uncorrected: 0.199 eV/atom
- E_tot: -2.995 eV/atom
- Density of states at the Fermi level: 3.01 states/eV/f.u.

Unit cell a=4.8783 b=4.8783 c=5.1445 alpha=90.00 beta=90.00 gamma=90.00
Fractional coordinates of all 5 atoms:
Cu 0.0000 0.0000 0.0000
Br 0.0000 0.5000 0.0000
Bi 0.5000 0.5000 0.5000
Br 0.5000 0.0000 0.0000
As 0.0000 0.0000 0.5000